1.
Material: NaAc2Ag2O6
Method: DFT, PBE
State: relaxed

Results
Size of the total moment (Bohr magnetons per cell): 2.112
Crystal system: trigonal
ΔE_f (raw) (eV per atom): -1.3428

```
11
Lattice="-4.971 -2.395 -2.726 0.641 -3.633 -4.926 -1.100 -6.758 0.997" Properties=species:S:1:pos:R:3 pbc="T T T"
O -1.456 -8.256 -3.987
O -1.822 -6.179 -1.171
O -0.766 -5.238 -3.926
O -3.608 -6.607 -5.484
O -4.665 -7.548 -2.729
O -3.974 -4.530 -2.668
Ac -1.312 -3.830 -1.190
Ac -4.119 -8.956 -5.465
Ag -2.631 -7.557 -2.458
Ag -2.799 -5.229 -4.197
Na 0.000 0.000 0.000
```

***

2.
Material: Er5Sb4Pb
Method: DFT, PBE
State: relaxed

Results
Size of the total moment (Bohr magnetons per cell): 0.000
Crystal system: monoclinic
ΔE_f (raw) (eV per atom): -0.9295

```
10
Lattice="4.220 0.000 0.964 1.780 7.130 1.927 -0.012 -0.012 9.771" Properties=species:S:1:pos:R:3 pbc="T T T"
Sb 4.436 4.287 9.739
Sb 3.107 5.692 5.835
Sb 1.552 2.831 2.923
Sb 2.881 1.426 6.826
Er 2.446 6.418 8.732
Er 2.215 2.196 9.739
Er 0.884 3.559 5.849
Er 3.542 0.700 3.930
Er 3.773 4.922 2.922
Pb 0.000 0.000 0.000
```

***

3.
Material: ScNbCu2Tc
Method: DFT, PBE
State: relaxed

Results
Size of the total moment (Bohr magnetons per cell): 3.518
Energy of formation (eV per atom): 1.625
Crystal system: tetragonal

```
5
Lattice="-2.778 -0.004 3.803 -3.767 -0.843 -2.753 0.678 -4.635 0.491" Properties=species:S:1:pos:R:3 pbc="T T T"
Cu -1.389 -0.002 1.901
Cu 0.339 -2.317 0.245
Nb 0.000 0.000 0.000
Tc -2.933 -2.741 0.770
Sc -1.883 -0.421 -1.376
```